A geometry-optimized La2Y3Er6Sc structure, computed with PBE-GGA.

a b c (Å): 6.134 6.134 11.749
angles (deg): 94.98 94.98 120.00
Fractional coordinates of all 12 atoms:
La (0.166, 0.834, 0.000)
La (0.834, 0.166, 0.000)
Y (0.000, 0.000, 0.500)
Y (0.334, 0.666, 0.500)
Y (0.666, 0.334, 0.500)
Er (0.086, 0.416, 0.749)
Er (0.254, 0.254, 0.252)
Er (0.416, 0.086, 0.749)
Er (0.584, 0.914, 0.251)
Er (0.746, 0.746, 0.748)
Er (0.914, 0.584, 0.251)
Sc (0.500, 0.500, 0.000)

Properties
Calculated formation energy   0.034 eV/atom
Calculated total energy   -5.21 eV per atom
Magnetic moment   0.0 μB per cell


A geometry-optimized La2YEr4Sc structure, computed with PBE-GGA.

a b c (Å): 9.425 9.425 6.747
angles (deg): 110.96 110.96 87.87
Fractional coordinates of all 16 atoms:
La (0.000, 0.000, 0.000)
La (0.000, 0.000, 0.500)
La (0.000, 0.500, 0.000)
La (0.500, 0.000, 0.500)
Y (0.000, 0.500, 0.500)
Y (0.500, 0.000, 0.000)
Er (0.264, 0.736, 0.000)
Er (0.264, 0.736, 0.500)
Er (0.268, 0.269, 0.020)
Er (0.269, 0.268, 0.520)
Er (0.731, 0.732, 0.480)
Er (0.732, 0.731, 0.980)
Er (0.736, 0.264, 0.000)
Er (0.736, 0.264, 0.500)
Sc (0.500, 0.500, 0.000)
Sc (0.500, 0.500, 0.500)

Properties
Calculated formation energy   0.414 eV/atom
Calculated total energy   -4.70 eV per atom
Magnetic moment   2.1 μB per cell


A geometry-optimized La4Y2ErSc structure, computed with PBE-GGA.

a b c (Å): 5.221 5.232 9.739
angles (deg): 90.00 90.00 90.00
Fractional coordinates of all 8 atoms:
La (0.000, 0.000, 0.245)
La (0.000, 0.000, 0.755)
La (0.500, 0.500, 0.246)
La (0.500, 0.500, 0.754)
Y (0.000, 0.500, 0.000)
Y (0.500, 0.000, 0.500)
Er (0.000, 0.500, 0.500)
Sc (0.500, 0.000, 0.000)

Properties
Calculated formation energy   0.036 eV/atom
Calculated total energy   -5.41 eV per atom
Magnetic moment   0.0 μB per cell


A geometry-optimized LaY6Er2Sc structure, computed with PBE-GGA.

a b c (Å): 9.127 9.127 8.752
angles (deg): 90.71 90.71 118.47
Fractional coordinates of all 20 atoms:
La (0.032, 0.968, 0.750)
La (0.968, 0.032, 0.250)
Y (0.046, 0.459, 0.293)
Y (0.137, 0.790, 0.052)
Y (0.210, 0.863, 0.448)
Y (0.265, 0.520, 0.909)
Y (0.459, 0.046, 0.793)
Y (0.480, 0.735, 0.591)
Y (0.520, 0.265, 0.409)
Y (0.541, 0.954, 0.207)
Y (0.735, 0.480, 0.091)
Y (0.790, 0.137, 0.552)
Y (0.863, 0.210, 0.948)
Y (0.954, 0.541, 0.707)
Er (0.212, 0.325, 0.560)
Er (0.325, 0.212, 0.060)
Er (0.675, 0.788, 0.940)
Er (0.788, 0.675, 0.440)
Sc (0.442, 0.558, 0.250)
Sc (0.558, 0.442, 0.750)

Properties
Calculated formation energy   0.120 eV/atom
Calculated total energy   -5.80 eV per atom
Magnetic moment   0.0 μB per cell


A geometry-optimized La3Y6Er2Sc structure, computed with PBE-GGA.

a b c (Å): 6.208 6.208 11.832
angles (deg): 95.02 95.02 120.01
Fractional coordinates of all 12 atoms:
La (0.000, 0.000, 0.000)
La (0.333, 0.667, 0.000)
La (0.667, 0.333, 0.000)
Y (0.089, 0.420, 0.259)
Y (0.249, 0.249, 0.741)
Y (0.420, 0.089, 0.259)
Y (0.580, 0.911, 0.741)
Y (0.751, 0.751, 0.259)
Y (0.911, 0.580, 0.741)
Er (0.167, 0.833, 0.500)
Er (0.833, 0.167, 0.500)
Sc (0.500, 0.500, 0.500)

Properties
Calculated formation energy   0.036 eV/atom
Calculated total energy   -5.72 eV per atom
Magnetic moment   0.0 μB per cell


A geometry-optimized LaY2ErSc4 structure, computed with PBE-GGA.

a b c (Å): 4.972 4.972 9.244
angles (deg): 90.00 90.00 90.00
Fractional coordinates of all 8 atoms:
La (0.000, 0.000, 0.000)
Y (0.000, 0.000, 0.500)
Y (0.500, 0.500, 0.000)
Er (0.500, 0.500, 0.500)
Sc (0.000, 0.500, 0.254)
Sc (0.000, 0.500, 0.746)
Sc (0.500, 0.000, 0.254)
Sc (0.500, 0.000, 0.746)

Properties
Calculated formation energy   0.066 eV/atom
Calculated total energy   -5.90 eV per atom
Magnetic moment   0.0 μB per cell


A geometry-optimized LaErScZn structure, computed with PBE-GGA.

a b c (Å): 3.491 3.491 8.649
angles (deg): 90.00 90.00 90.00
Fractional coordinates of all 4 atoms:
La (0.000, 0.000, 0.000)
Er (0.500, 0.500, 0.682)
Sc (0.500, 0.500, 0.294)
Zn (0.000, 0.000, 0.469)

Properties
Calculated formation energy   -0.144 eV/atom
Calculated total energy   -4.42 eV per atom
Magnetic moment   0.0 μB per cell


A geometry-optimized LaErScZn structure, computed with PBE-GGA.

a b c (Å): 7.507 7.507 7.507
angles (deg): 90.00 90.00 90.00
Fractional coordinates of all 16 atoms:
La (0.000, 0.000, 0.000)
La (0.000, 0.500, 0.500)
La (0.500, 0.000, 0.500)
La (0.500, 0.500, 0.000)
Er (0.000, 0.000, 0.500)
Er (0.000, 0.500, 0.000)
Er (0.500, 0.000, 0.000)
Er (0.500, 0.500, 0.500)
Sc (0.250, 0.250, 0.250)
Sc (0.250, 0.750, 0.750)
Sc (0.750, 0.250, 0.750)
Sc (0.750, 0.750, 0.250)
Zn (0.250, 0.250, 0.750)
Zn (0.250, 0.750, 0.250)
Zn (0.750, 0.250, 0.250)
Zn (0.750, 0.750, 0.750)

Properties
Calculated formation energy   -0.007 eV/atom
Calculated total energy   -4.28 eV per atom
Magnetic moment   0.0 μB per cell


A geometry-optimized LaErZrSc structure, computed with PBE-GGA.

a b c (Å): 7.652 7.652 7.652
angles (deg): 90.00 90.00 90.00
Fractional coordinates of all 16 atoms:
La (0.000, 0.000, 0.000)
La (0.000, 0.500, 0.500)
La (0.500, 0.000, 0.500)
La (0.500, 0.500, 0.000)
Er (0.250, 0.250, 0.250)
Er (0.250, 0.750, 0.750)
Er (0.750, 0.250, 0.750)
Er (0.750, 0.750, 0.250)
Zr (0.000, 0.000, 0.500)
Zr (0.000, 0.500, 0.000)
Zr (0.500, 0.000, 0.000)
Zr (0.500, 0.500, 0.500)
Sc (0.250, 0.250, 0.750)
Sc (0.250, 0.750, 0.250)
Sc (0.750, 0.250, 0.250)
Sc (0.750, 0.750, 0.750)

Properties
Calculated formation energy   0.173 eV/atom
Calculated total energy   -5.92 eV per atom
Magnetic moment   0.1 μB per cell


A geometry-optimized La4Er3Se8 structure, computed with PBE-GGA.

a b c (Å): 8.359 8.359 8.328
angles (deg): 119.81 119.81 90.06
Fractional coordinates of all 15 atoms:
La (0.000, 0.000, 0.000)
La (0.000, 0.500, 0.000)
La (0.500, 0.000, 0.000)
La (0.500, 0.500, 0.500)
Er (0.000, 0.500, 0.500)
Er (0.500, 0.000, 0.500)
Er (0.500, 0.500, 0.000)
Se (0.243, 0.757, 0.500)
Se (0.249, 0.249, 0.514)
Se (0.252, 0.252, 0.987)
Se (0.257, 0.743, 0.000)
Se (0.743, 0.257, 0.000)
Se (0.748, 0.748, 0.013)
Se (0.751, 0.751, 0.486)
Se (0.757, 0.243, 0.500)

Properties
Calculated total energy   -5.96 eV per atom
Magnetic moment   0.0 μB per cell


A geometry-optimized La5Er3Se8 structure, computed with PBE-GGA.

a b c (Å): 8.466 8.466 8.466
angles (deg): 59.36 59.36 59.36
Fractional coordinates of all 16 atoms:
La (0.000, 0.000, 0.000)
La (0.000, 0.500, 0.500)
La (0.500, 0.000, 0.500)
La (0.500, 0.500, 0.000)
La (0.500, 0.500, 0.500)
Er (0.000, 0.000, 0.500)
Er (0.000, 0.500, 0.000)
Er (0.500, 0.000, 0.000)
Se (0.234, 0.750, 0.750)
Se (0.242, 0.242, 0.242)
Se (0.250, 0.250, 0.766)
Se (0.250, 0.766, 0.250)
Se (0.750, 0.234, 0.750)
Se (0.750, 0.750, 0.234)
Se (0.758, 0.758, 0.758)
Se (0.766, 0.250, 0.250)

Properties
Calculated total energy   -6.02 eV per atom
Magnetic moment   0.0 μB per cell


A geometry-optimized La4ErSe7 structure, computed with PBE-GGA.

a b c (Å): 7.297 7.297 12.509
angles (deg): 104.71 104.71 33.12
Fractional coordinates of all 12 atoms:
La (0.000, 0.000, 0.000)
La (0.191, 0.191, 0.766)
La (0.586, 0.586, 0.377)
La (0.887, 0.887, 0.568)
Er (0.774, 0.774, 0.148)
Se (0.160, 0.160, 0.220)
Se (0.226, 0.226, 0.520)
Se (0.379, 0.379, 0.075)
Se (0.548, 0.548, 0.623)
Se (0.631, 0.631, 0.931)
Se (0.848, 0.848, 0.787)
Se (0.925, 0.925, 0.347)

Properties
Calculated total energy   -6.05 eV per atom
Magnetic moment   0.0 μB per cell